Record 1
A relaxed NbV2Fe2 crystal, computed with PBE-GGA.

The structure belongs to space group I4/mmm (No. 139); the cell edges are 3.753, 3.753 and 9.979 Å and the angles 90.00°, 90.00° and 90.00°. Symmetry generates all atoms from Nb at (0.000, 0.000, 0.000), V at (0.000, 0.000, 0.377) and Fe at (0.000, 0.500, 0.250).

As for the energy above the most stable polymorph in this dataset: 1.16 eV/f.u. The density of states at the Fermi level is 10.0 states/eV/cell. For the formation energy, the calculation gives 0.26 eV per atom. Its uncorrected energy is -0.6460 Ry per atom.



Record 2
A relaxed Ba2PuMgS5 crystal, computed with PBE-GGA.

The structure belongs to space group Cmc2_1 (No. 36); the cell edges are 4.210, 17.850 and 12.991 Å and the angles 90.00°, 90.00° and 90.00°. Symmetry generates all atoms from Ba at (0.000, 0.107, 0.000), Ba at (0.000, 0.128, 0.628), Pu at (0.000, 0.209, 0.333), Mg at (0.000, 0.449, 0.764), S at (0.000, 0.058, 0.361), S at (0.000, 0.286, 0.966), S at (0.000, 0.309, 0.699), S at (0.000, 0.356, 0.318) and S at (0.000, 0.498, 0.096).

The value obtained for the uncorrected formation energy is -15.48 eV per formula unit. The density of states at the Fermi level is 41.2 states/eV/cell. Its uncorrected energy is -0.4564 Ry per atom.



Record 3
A relaxed Be2TlPb crystal, computed with PBE-GGA.

The structure belongs to space group P4/mmm (No. 123); the cell edges are 3.540, 3.540 and 6.538 Å and the angles 90.00°, 90.00° and 90.00°. Symmetry generates all atoms from Be at (0.000, 0.000, 0.180), Tl at (0.500, 0.500, 0.000) and Pb at (0.500, 0.500, 0.500).

As for the energy above the most stable polymorph in this dataset: 1.16 eV/f.u. The density of states at the Fermi level is 1.6 states/eV/cell. For the formation energy, the calculation gives 0.80 eV per atom. Its uncorrected energy is -0.1896 Ry per atom.



Record 4
A relaxed Pu2P3Pd2 crystal, computed with PBE-GGA.

The structure belongs to space group C2/m (No. 12); the cell edges are 14.557, 3.943 and 11.225 Å and the angles 90.00°, 125.21° and 90.00°. Symmetry generates all atoms from Pu at (0.108, 0.000, 0.457), Pu at (0.230, 0.000, 0.830), P at (0.073, 0.500, 0.623), P at (0.124, 0.000, 0.977), P at (0.162, 0.500, 0.315), Pd at (0.050, 0.500, 0.824) and Pd at (0.082, 0.000, 0.158).

The density of states at the Fermi level is 68.3 states/eV/cell. For the formation energy, the calculation gives -0.87 eV per atom. Its uncorrected energy is -0.6442 Ry per atom.



Record 5
A relaxed CePuSnGe crystal, computed with PBE-GGA.

The structure belongs to space group P4mm (No. 99); the cell edges are 3.366, 3.366 and 8.697 Å and the angles 90.00°, 90.00° and 90.00°. Symmetry generates all atoms from Ce at (0.000, 0.000, 0.000), Pu at (0.000, 0.000, 0.456), Sn at (0.500, 0.500, 0.726) and Ge at (0.500, 0.500, 0.232).

As for the energy above the most stable polymorph in this dataset: 0.00 eV/f.u. The density of states at the Fermi level is 11.8 states/eV/cell. For the formation energy, the calculation gives -0.51 eV per atom. Its uncorrected energy is -0.5686 Ry per atom.



Record 6
A relaxed Ac2Te2N crystal, computed with PBE-GGA.

The structure belongs to space group Ibam (No. 72); the cell edges are 7.181, 13.549 and 6.535 Å and the angles 90.00°, 90.00° and 90.00°. Symmetry generates all atoms from Ac at (0.188, 0.097, 0.000), Te at (0.165, 0.352, 0.000) and N at (0.000, 0.000, 0.250).

The value obtained for the uncorrected formation energy is -6.62 eV per formula unit. The density of states at the Fermi level is 16.6 states/eV/cell. Its uncorrected energy is -0.4328 Ry per atom.



Record 7
A relaxed Pr6Tl2Os crystal, computed with PBE-GGA.

The structure belongs to space group Amm2 (No. 38); the cell edges are 4.021, 15.420 and 8.992 Å and the angles 90.00°, 90.00° and 90.00°. Symmetry generates all atoms from Pr at (0.000, 0.000, 0.000), Pr at (0.000, 0.117, 0.634), Pr at (0.500, 0.000, 0.359), Pr at (0.500, 0.196, 0.949), Tl at (0.000, 0.169, 0.253) and Os at (0.500, 0.000, 0.768).

The density of states at the Fermi level is 20.4 states/eV/cell. For the formation energy, the calculation gives -0.22 eV per atom. Its uncorrected energy is -0.3804 Ry per atom.



Record 8
A relaxed CsHgS2 crystal, computed with PBE-GGA.

The structure belongs to space group R-3m (No. 166, hexagonal axes); the cell edges are 4.0782, 4.0782 and 27.3390 Å and the angles 90.00°, 90.00° and 120.00°. Symmetry generates all atoms from Cs at (0.0000, 0.0000, 0.0000), Hg at (0.0000, 0.0000, 0.5000) and S at (0.0000, 0.0000, 0.1161).

The value obtained for the uncorrected formation energy is 0.11 eV per formula unit. The density of states at the Fermi level is 20.3 states/eV/cell. Its uncorrected energy is -0.1709 Ry per atom.



Record 9
A relaxed MgZrTl2 crystal, computed with PBE-GGA.

The structure belongs to space group Cm (No. 8); the cell edges are 11.601, 3.342 and 5.310 Å and the angles 90.00°, 111.48° and 90.00°. Symmetry generates all atoms from Mg at (0.000, 0.000, 0.000), Zr at (0.254, 0.000, 0.592), Tl at (0.010, 0.500, 0.518) and Tl at (0.256, 0.500, 0.102).

The density of states at the Fermi level is 6.6 states/eV/cell. For the formation energy, the calculation gives -0.01 eV per atom. Its uncorrected energy is -0.2738 Ry per atom.



Record 10
A relaxed K2Ag2Hg crystal, computed with PBE-GGA.

The structure belongs to space group C2/c (No. 15); the cell edges are 10.232, 6.495 and 9.514 Å and the angles 90.00°, 101.64° and 90.00°. Symmetry generates all atoms from K at (0.148, 0.130, 0.153), Ag at (0.133, 0.370, 0.506) and Hg at (0.000, 0.375, 0.750).

As for the energy above the most stable polymorph in this dataset: 0.11 eV/f.u. The density of states at the Fermi level is 8.5 states/eV/cell. For the formation energy, the calculation gives -0.06 eV per atom. Its uncorrected energy is -0.1252 Ry per atom.



Record 11
A relaxed LiPaGa4Pd2 crystal, computed with PBE-GGA.

The structure belongs to space group R-3m (No. 166, hexagonal axes); the cell edges are 4.3380, 4.3380 and 24.9158 Å and the angles 90.00°, 90.00° and 120.00°. Symmetry generates all atoms from Li at (0.0000, 0.0000, 0.0000), Pa at (0.0000, 0.0000, 0.5000), Ga at (0.0000, 0.0000, 0.1047), Ga at (0.0000, 0.0000, 0.3726) and Pd at (0.0000, 0.0000, 0.2641).

The density of states at the Fermi level is 11.1 states/eV/cell. For the formation energy, the calculation gives -0.51 eV per atom. Its uncorrected energy is -0.3490 Ry per atom.



Record 12
A relaxed ErLuThZn crystal, computed with PBE-GGA.

The structure belongs to space group F-43m (No. 216); the cell edges are 7.526, 7.526 and 7.526 Å and the angles 90.00°, 90.00° and 90.00°. Symmetry generates all atoms from Er at (0.000, 0.000, 0.000), Lu at (0.250, 0.250, 0.750), Th at (0.000, 0.000, 0.500) and Zn at (0.250, 0.250, 0.250).

The density of states at the Fermi level is 28.4 states/eV/cell. For the formation energy, the calculation gives 0.07 eV per atom. Its uncorrected energy is -0.3215 Ry per atom.



Record 13
A relaxed FeRe2Te crystal, computed with PBE-GGA.

The structure belongs to space group Immm (No. 71); the cell edges are 3.117, 4.423 and 9.229 Å and the angles 90.00°, 90.00° and 90.00°. Symmetry generates all atoms from Fe at (0.000, 0.000, 0.000), Re at (0.000, 0.500, 0.241) and Te at (0.000, 0.000, 0.500).

The value obtained for the uncorrected formation energy is 2.95 eV per formula unit. The density of states at the Fermi level is 8.6 states/eV/cell. Its uncorrected energy is -0.6165 Ry per atom.



Record 14
A relaxed Sr2TlZn2 crystal, computed with PBE-GGA.

The structure belongs to space group P4/mbm (No. 127); the cell edges are 8.193, 8.193 and 4.418 Å and the angles 90.00°, 90.00° and 90.00°. Symmetry generates all atoms from Sr at (0.186, 0.314, 0.000), Tl at (0.000, 0.000, 0.500) and Zn at (0.110, 0.610, 0.500).

The density of states at the Fermi level is 5.9 states/eV/cell. For the formation energy, the calculation gives -0.24 eV per atom. Its uncorrected energy is -0.1394 Ry per atom.